Entry from the Alexandria database: NaNd2CrO6 after structural relaxation (PBE+U).

Unit cell a=5.370 b=5.370 c=5.016 alpha=90.00 beta=90.00 gamma=90.00
Fractional coordinates of all 10 atoms:
1 Na 0.000 0.000 0.000
2 Nd 0.000 0.500 0.439
3 Nd 0.500 0.000 0.439
4 Cr 0.500 0.500 0.034
5 O 0.000 0.000 0.558
6 O 0.275 0.275 0.166
7 O 0.275 0.725 0.166
8 O 0.500 0.500 0.690
9 O 0.725 0.275 0.166
10 O 0.725 0.725 0.166

- E (eV/atom) = -7.103
- size of the total moment (μB/atom) = 0.10
- space group = No. 99